Record 1
Entry from the Alexandria database: an optimized crystal structure of CdSCl6 (PBE-GGA).

```
CdSCl6
1.0
3.1570 1.8227 5.6657
-3.1570 1.8227 5.6657
0.0000 -3.6454 5.6657
Cd S Cl
1 1 6
direct
0.0000 0.0000 0.0000
0.5000 0.5000 0.5000
0.1125 0.4282 0.7236
0.2764 0.8875 0.5718
0.4282 0.7236 0.1125
0.5718 0.2764 0.8875
0.7236 0.1125 0.4282
0.8875 0.5718 0.2764
```

Computed properties:
The magnetic moment is 0.0 μB/f.u. Its uncorrected formation energy is -338 meV per atom. The volume comes out at 24.452 A^3/atom.



Record 2
Entry from the Alexandria database: an optimized crystal structure of LaCeTc (PBE-GGA).

```
LaCeTc
1.0
-1.7473 1.7473 5.6617
1.7473 -1.7473 5.6617
1.7473 1.7473 -5.6617
La Ce Tc
1 1 1
direct
0.0000 0.0000 0.0000
0.3085 0.3085 0.0000
0.6735 0.6735 0.0000
```

Computed properties:
The magnetic moment is 0.0 μB/f.u. The value obtained for the energy above the most stable polymorph in this dataset is 7.54 kJ/mol of atoms. The value obtained for the formation energy is 0.0 kJ per mole of atoms. The volume comes out at 23.046 A^3/atom.



Record 3
Entry from the Alexandria database: an optimized crystal structure of Ga3CoGe (PBE-GGA).

```
Ga3CoGe
1.0
4.7041 -3.7041 0.0000
4.7041 3.7041 0.0000
-3.5805 0.0000 4.9112
Ga Co Ge
6 2 2
direct
0.0584 0.0584 0.3436
0.1029 0.4828 0.2538
0.4828 0.1029 0.2538
0.5172 0.8971 0.7462
0.8971 0.5172 0.7462
0.9416 0.9416 0.6564
0.2576 0.2576 0.8842
0.7424 0.7424 0.1158
0.4355 0.4355 0.7248
0.5645 0.5645 0.2752
```

Computed properties:
The magnetic moment is 0.0 μB/f.u. The value obtained for the energy above the most stable polymorph in this dataset is 0.00 kJ/mol of atoms. The value obtained for the formation energy is -2.7 kJ per mole of atoms. The volume comes out at 17.115 A^3/atom.



Record 4
Entry from the Alexandria database: an optimized crystal structure of UPt4Rh (PBE-GGA).

```
UPt4Rh
1.0
0.0000 3.7320 3.7320
3.7320 0.0000 3.7320
3.7320 3.7320 0.0000
U Pt Rh
1 4 1
direct
0.0000 0.0000 0.0000
0.1260 0.6247 0.6247
0.6247 0.1260 0.6247
0.6247 0.6247 0.1260
0.6247 0.6247 0.6247
0.2500 0.2500 0.2500
```

Computed properties:
The magnetic moment is 0.2 μB/f.u. The value obtained for the energy above the most stable polymorph in this dataset is 8.60 kJ/mol of atoms. The value obtained for the formation energy is -44.4 kJ per mole of atoms. The volume comes out at 17.327 A^3/atom.